VSeF2: relaxed, PBE+U.

* density: 4.98 g/cm³
* energy above the most stable polymorph in this dataset: 1103 meV/atom
* space-group type: No. 225

a b c (Å): 6.0728 6.0728 6.0728
angles (deg): 90.00 90.00 90.00
Fractional positions:
V1 0.0000 0.0000 0.0000
V2 0.0000 0.5000 0.5000
V3 0.5000 0.0000 0.5000
V4 0.5000 0.5000 0.0000
Se1 0.0000 0.0000 0.5000
Se2 0.0000 0.5000 0.0000
Se3 0.5000 0.0000 0.0000
Se4 0.5000 0.5000 0.5000
F1 0.2500 0.2500 0.2500
F2 0.2500 0.2500 0.7500
F3 0.2500 0.7500 0.2500
F4 0.2500 0.7500 0.7500
F5 0.7500 0.2500 0.2500
F6 0.7500 0.2500 0.7500
F7 0.7500 0.7500 0.2500
F8 0.7500 0.7500 0.7500